No. 1
{
  "formula": "SrTiN3",
  "functional": "GGA-PBE",
  "state": "relaxed",
  "cell": [[4.021, 0.000, 0.000], [0.000, 4.021, 0.000], [0.000, 0.000, 4.021]],
  "species": ["Sr", "N", "N", "N", "Ti"],
  "frac_coords": [[0.500, 0.500, 0.500], [0.000, 0.500, 0.000], [0.000, 0.000, 0.500], [0.500, 0.000, 0.000], [0.000, 0.000, 0.000]],
  "e_form_raw_ev_per_fu": -1.79
}

---

No. 2
{
  "formula": "SrTi3N",
  "functional": "GGA-PBE",
  "state": "relaxed",
  "cell": [[4.689, 0.000, 0.000], [0.000, 4.689, 0.000], [0.000, 0.000, 4.689]],
  "species": ["Sr", "N", "Ti", "Ti", "Ti"],
  "frac_coords": [[0.000, 0.000, 0.000], [0.500, 0.500, 0.500], [0.000, 0.500, 0.000], [0.000, 0.000, 0.500], [0.500, 0.000, 0.000]],
  "e_form_raw_ev_per_fu": 14.57,
  "polymorph_energy_mev_per_atom": 2955
}

---

No. 3
{
  "formula": "Sr3Ti2N4",
  "functional": "GGA-PBE",
  "state": "relaxed",
  "cell": [[-4.456, -4.993, 2.948], [2.805, 0.427, -8.416], [4.728, -3.039, 1.421]],
  "species": ["Sr", "Sr", "Sr", "Sr", "Sr", "Sr", "N", "N", "N", "N", "N", "N", "N", "N", "Ti", "Ti", "Ti", "Ti"],
  "frac_coords": [[0.231, 0.982, 0.048], [0.769, 0.751, 0.452], [0.769, 0.018, 0.952], [0.231, 0.249, 0.548], [0.000, 0.605, 0.750], [0.000, 0.395, 0.250], [0.268, 0.955, 0.527], [0.732, 0.687, 0.973], [0.732, 0.045, 0.473], [0.268, 0.313, 0.027], [0.661, 0.264, 0.910], [0.339, 0.603, 0.590], [0.339, 0.736, 0.090], [0.661, 0.397, 0.410], [0.593, 0.179, 0.584], [0.407, 0.586, 0.916], [0.407, 0.821, 0.416], [0.593, 0.414, 0.084]],
  "e_form_raw_ev_per_fu": -8.96
}

---

No. 4
{
  "formula": "Sr7TiN6",
  "functional": "GGA-PBE",
  "state": "relaxed",
  "cell": [[-0.237, -5.569, -3.695], [9.389, -4.200, 5.730], [-8.383, -5.891, 9.417]],
  "species": ["Sr", "Sr", "Sr", "Sr", "Sr", "Sr", "Sr", "Sr", "Sr", "Sr", "Sr", "Sr", "Sr", "Sr", "Sr", "Sr", "Sr", "Sr", "Sr", "Sr", "Sr", "Sr", "Sr", "Sr", "Sr", "Sr", "Sr", "Sr", "Ti", "Ti", "Ti", "Ti", "N", "N", "N", "N", "N", "N", "N", "N", "N", "N", "N", "N", "N", "N", "N", "N", "N", "N", "N", "N", "N", "N", "N", "N"],
  "frac_coords": [[0.266, 0.963, 0.020], [0.234, 0.537, 0.520], [0.234, 0.463, 0.980], [0.266, 0.037, 0.480], [0.734, 0.037, 0.980], [0.766, 0.463, 0.480], [0.766, 0.537, 0.020], [0.734, 0.963, 0.520], [0.160, 0.769, 0.373], [0.340, 0.731, 0.873], [0.340, 0.269, 0.627], [0.160, 0.231, 0.127], [0.840, 0.231, 0.627], [0.660, 0.269, 0.127], [0.660, 0.731, 0.373], [0.840, 0.769, 0.873], [0.390, 0.708, 0.121], [0.110, 0.792, 0.621], [0.110, 0.208, 0.879], [0.390, 0.292, 0.379], [0.610, 0.292, 0.879], [0.890, 0.208, 0.379], [0.890, 0.792, 0.121], [0.610, 0.708, 0.621], [0.553, 0.000, 0.250], [0.947, 0.500, 0.750], [0.447, 0.000, 0.750], [0.053, 0.500, 0.250], [0.058, 0.000, 0.250], [0.442, 0.500, 0.750], [0.942, 0.000, 0.750], [0.558, 0.500, 0.250], [0.233, 0.876, 0.205], [0.267, 0.624, 0.705], [0.267, 0.376, 0.795], [0.233, 0.124, 0.295], [0.767, 0.124, 0.795], [0.733, 0.376, 0.295], [0.733, 0.624, 0.205], [0.767, 0.876, 0.705], [0.409, 0.836, 0.497], [0.091, 0.664, 0.997], [0.091, 0.336, 0.503], [0.409, 0.164, 0.003], [0.591, 0.164, 0.503], [0.909, 0.336, 0.003], [0.909, 0.664, 0.497], [0.591, 0.836, 0.997], [0.386, 0.558, 0.352], [0.114, 0.942, 0.852], [0.114, 0.058, 0.648], [0.386, 0.442, 0.148], [0.614, 0.442, 0.648], [0.886, 0.058, 0.148], [0.886, 0.942, 0.352], [0.614, 0.558, 0.852]],
  "e_form_raw_ev_per_fu": -11.12
}

---

No. 5
{
  "formula": "Sr2TiN3",
  "functional": "GGA-PBE",
  "state": "relaxed",
  "cell": [[5.906, 0.000, -1.609], [0.000, 5.293, 0.000], [-0.486, 0.000, 6.102]],
  "species": ["Sr", "Sr", "Sr", "Sr", "Ti", "Ti", "N", "N", "N", "N", "N", "N"],
  "frac_coords": [[0.495, 0.250, 0.816], [0.505, 0.750, 0.184], [0.184, 0.750, 0.505], [0.816, 0.250, 0.495], [0.101, 0.250, 0.101], [0.899, 0.750, 0.899], [0.638, 0.750, 0.638], [0.362, 0.250, 0.362], [0.857, 0.500, 0.143], [0.857, 0.000, 0.143], [0.143, 0.500, 0.857], [0.143, 0.000, 0.857]],
  "e_form_raw_ev_per_fu": -5.44
}

---

No. 6
{
  "formula": "Sr3U3TiN8",
  "functional": "GGA-PBE",
  "state": "relaxed",
  "cell": [[6.843, 0.000, 0.000], [-3.421, 5.926, -0.019], [0.000, -3.932, 6.008]],
  "species": ["Sr", "Sr", "Sr", "U", "U", "U", "Ti", "N", "N", "N", "N", "N", "N", "N", "N"],
  "frac_coords": [[0.000, 0.000, 0.000], [0.000, 0.500, 0.000], [0.500, 0.500, 0.000], [0.500, 0.000, 0.500], [0.500, 0.500, 0.500], [0.000, 0.500, 0.500], [0.000, 0.000, 0.500], [0.265, 0.529, 0.294], [0.735, 0.471, 0.706], [0.780, 0.559, 0.323], [0.220, 0.441, 0.677], [0.780, 0.043, 0.323], [0.220, 0.957, 0.677], [0.263, 0.043, 0.323], [0.737, 0.957, 0.677]],
  "e_form_raw_ev_per_fu": -17.56
}